Record 1
Here is crystalline NaCuHPd2 at its relaxed geometry from Alexandria via LeMat-Bulk. Energies are from PBE.

The space group is P4/mmm (No. 123) and the conventional cell measures 3.9610, 3.9610 and 4.1577 Å, with angles of 90.00, 90.00 and 90.00 degrees. Symmetry generates all atoms from Na at (0.0000, 0.0000, 0.0000), Cu at (0.5000, 0.5000, 0.0000), H at (0.0000, 0.0000, 0.5000) and Pd at (0.0000, 0.5000, 0.5000).

Its crystal system is tetragonal. The value obtained for the excess energy over the best structure of this formula in the dataset is 11 meV per atom.


Record 2
Here is crystalline LaRu4O12 at its relaxed geometry from Alexandria via LeMat-Bulk. Energies are from PBE.

The space group is Im-3 (No. 204) and the conventional cell measures 7.5462, 7.5462 and 7.5462 Å, with angles of 90.00, 90.00 and 90.00 degrees. Symmetry generates all atoms from La at (0.0000, 0.0000, 0.0000), Ru at (0.2500, 0.2500, 0.2500) and O at (0.0000, 0.2003, 0.2803).

The formation energy without anion corrections is -19.2 eV/f.u. Its crystal system is cubic.


Record 3
Here is crystalline Rb2La2CeO6 at its relaxed geometry from Alexandria via LeMat-Bulk. Energies are from PBE.

The space group is C2/m (No. 12) and the conventional cell measures 6.4024, 11.0297 and 6.9739 Å, with angles of 90.00, 106.94 and 90.00 degrees. Symmetry generates all atoms from Rb at (0.0000, 0.1658, 0.0000), La at (0.0000, 0.3343, 0.5000), Ce at (0.0000, 0.0000, 0.5000), O at (0.2072, 0.1630, 0.6649) and O at (0.2491, 0.5000, 0.6668).

The formation energy without anion corrections is -31.2 eV/f.u. Its crystal system is monoclinic.


Record 4
Here is crystalline Gd2DyS at its relaxed geometry from Alexandria via LeMat-Bulk. Energies are from PBE.

The space group is R-3m (No. 166, hexagonal axes) and the conventional cell measures 3.7536, 3.7536 and 28.1782 Å, with angles of 90.00, 90.00 and 120.00 degrees. Symmetry generates all atoms from Gd at (0.0000, 0.0000, 0.2282), Dy at (0.0000, 0.0000, 0.0000) and S at (0.0000, 0.0000, 0.5000).

The formation energy without anion corrections is -3.7 eV/f.u. Its crystal system is trigonal.


Record 5
Here is crystalline KBeSnSe3 at its relaxed geometry from Alexandria via LeMat-Bulk. Energies are from PBE.

The space group is P2_1/m (No. 11) and the conventional cell measures 9.4202, 3.8795 and 9.6580 Å, with angles of 90.00, 106.92 and 90.00 degrees. Symmetry generates all atoms from K at (0.2274, 0.2500, 0.1865), Be at (0.4057, 0.7500, 0.9237), Sn at (0.1384, 0.2500, 0.6576), Se at (0.1573, 0.7500, 0.8747), Se at (0.1684, 0.7500, 0.4525) and Se at (0.4839, 0.2500, 0.8332).

The formation energy without anion corrections is -4.3 eV/f.u. Its crystal system is monoclinic.


Record 6
Here is crystalline MoAuBr2 at its relaxed geometry from Alexandria via LeMat-Bulk. Energies are from PBE.

The space group is Cmmm (No. 65) and the conventional cell measures 3.0759, 5.7857 and 11.0312 Å, with angles of 90.00, 90.00 and 90.00 degrees. Symmetry generates all atoms from Mo at (0.0000, 0.0000, 0.0000), Au at (0.0000, 0.0000, 0.5000) and Br at (0.0000, 0.5000, 0.1865).

The formation energy without anion corrections is 1.6 eV/f.u. Its crystal system is orthorhombic. The value obtained for the excess energy over the best structure of this formula in the dataset is 320 meV per atom.


Record 7
Here is crystalline Tb2Sm7Tm at its relaxed geometry from Alexandria via LeMat-Bulk. Energies are from PBE.

The space group is Cmmm (No. 65) and the conventional cell measures 8.7393, 16.9732 and 5.4270 Å, with angles of 90.00, 90.00 and 90.00 degrees. Symmetry generates all atoms from Tb at (0.0000, 0.2046, 0.0000), Sm at (0.0000, 0.0000, 0.0000), Sm at (0.0000, 0.2958, 0.5000), Sm at (0.1789, 0.3902, 0.0000) and Tm at (0.0000, 0.5000, 0.5000).

Its crystal system is orthorhombic. The formation energy comes out at 657 meV/atom.


Record 8
Here is crystalline Sc3VCd at its relaxed geometry from Alexandria via LeMat-Bulk. Energies are from PBE.

The space group is Pm-3m (No. 221) and the conventional cell measures 4.9369, 4.9369 and 4.9369 Å, with angles of 90.00, 90.00 and 90.00 degrees. Symmetry generates all atoms from Sc at (0.0000, 0.0000, 0.5000), V at (0.0000, 0.0000, 0.0000) and Cd at (0.5000, 0.5000, 0.5000).

Its crystal system is cubic. The value obtained for the excess energy over the best structure of this formula in the dataset is 0 meV per atom. The formation energy comes out at 427 meV/atom.


Record 9
Here is crystalline DyPaNb at its relaxed geometry from Alexandria via LeMat-Bulk. Energies are from PBE.

The space group is I4/mmm (No. 139) and the conventional cell measures 3.4466, 3.4466 and 26.4603 Å, with angles of 90.00, 90.00 and 90.00 degrees. Symmetry generates all atoms from Dy at (0.0000, 0.0000, 0.0678), Pa at (0.0000, 0.0000, 0.3468) and Nb at (0.0000, 0.0000, 0.2192).

Its crystal system is tetragonal. The formation energy comes out at 210 meV/atom.


Record 10
Here is crystalline Li2TbCe2Tl2 at its relaxed geometry from Alexandria via LeMat-Bulk. Energies are from PBE.

The space group is R-3m (No. 166, hexagonal axes) and the conventional cell measures 4.6454, 4.6454 and 27.2013 Å, with angles of 90.00, 90.00 and 120.00 degrees. Symmetry generates all atoms from Li at (0.0000, 0.0000, 0.0893), Tb at (0.0000, 0.0000, 0.5000), Ce at (0.0000, 0.0000, 0.3561) and Tl at (0.0000, 0.0000, 0.2339).

Its crystal system is trigonal. The formation energy comes out at -177 meV/atom.


Record 11
Here is crystalline RbCd3Re at its relaxed geometry from Alexandria via LeMat-Bulk. Energies are from PBE.

The space group is Pm-3m (No. 221) and the conventional cell measures 5.4136, 5.4136 and 5.4136 Å, with angles of 90.00, 90.00 and 90.00 degrees. Symmetry generates all atoms from Rb at (0.0000, 0.0000, 0.0000), Cd at (0.0000, 0.5000, 0.5000) and Re at (0.5000, 0.5000, 0.5000).

Its crystal system is cubic. The value obtained for the excess energy over the best structure of this formula in the dataset is 0 meV per atom. The formation energy comes out at 632 meV/atom.


Record 12
Here is crystalline CrIn at its relaxed geometry from Alexandria via LeMat-Bulk. Energies are from PBE.

The space group is P6_3/mmc (No. 194) and the conventional cell measures 3.1954, 3.1954 and 8.9923 Å, with angles of 90.00, 90.00 and 120.00 degrees. Symmetry generates all atoms from Cr at (0.3333, 0.6667, 0.2500) and In at (0.0000, 0.0000, 0.0000).

Its crystal system is hexagonal. The formation energy comes out at 533 meV/atom.


Which formula does entry 10 have?
Li2TbCe2Tl2


Number 6 is which compound?
MoAuBr2